58
Lattice="6.593 0.000 0.000 0.000 11.328 0.000 -0.961 0.000 7.699" Properties=species:S:1:pos:R:3 comment="CsTiH10C4O13 | Alexandria via LeMat-Bulk | PBEsol | optimized geometry" magnetic_moment_mub_per_cell=2.02 dft_energy_ev_per_atom=-6.448 pbc="T T T"
Cs 0.027 2.832 1.651
Cs 5.605 8.496 6.048
Ti 1.471 2.832 5.529
Ti 4.161 8.496 2.170
H -0.001 7.628 2.799
H -0.001 9.364 2.799
H 0.998 6.064 1.725
H 0.998 10.928 1.725
H 1.074 5.774 3.306
H 1.074 11.218 3.306
H 2.192 7.662 0.545
H 2.192 9.330 0.545
H 2.644 7.702 4.341
H 2.644 9.291 4.341
H 2.988 2.037 3.358
H 2.988 3.627 3.358
H 3.440 1.998 7.155
H 3.440 3.666 7.155
H 4.558 0.110 4.393
H 4.558 5.554 4.393
H 4.634 0.400 5.974
H 4.634 5.264 5.974
H 5.634 1.964 4.900
H 5.634 3.700 4.900
C 0.936 0.324 6.997
C 0.936 5.340 6.997
C 1.491 5.790 5.672
C 1.491 11.203 5.672
C 4.141 0.126 2.028
C 4.141 5.538 2.028
C 4.696 5.989 0.702
C 4.696 11.004 0.702
O -0.418 2.832 4.787
O 0.497 6.139 2.592
O 0.497 10.853 2.592
O 1.631 6.175 0.210
O 1.631 10.817 0.210
O 0.778 1.587 7.084
O 0.778 4.077 7.084
O 1.660 7.000 5.410
O 1.660 9.992 5.410
O 1.732 0.860 4.877
O 1.732 4.804 4.877
O 2.432 8.496 1.060
O 2.487 2.832 3.744
O 3.146 8.496 3.955
O 3.200 2.832 6.639
O 3.900 6.524 2.823
O 3.900 10.468 2.823
O 3.972 1.336 2.289
O 3.972 4.328 2.289
O 4.854 7.251 0.616
O 4.854 9.741 0.616
O 4.002 0.511 7.489
O 4.002 5.153 7.489
O 5.136 0.475 5.108
O 5.136 5.189 5.108
O 6.050 8.496 2.912